Computed, not measured: a PBEsol-optimized structure of AlSnBiPt2 at the SCAN level of DFT.

Formation enthalpy at 0 K in eV per atom: 1.103
Crystal system: tetragonal

abc: 5.040 5.040 5.689
angles: 90.00 90.00 90.00
Element x y z (fractional)
Sn: 0.000 0.000 0.500
Al: 0.500 0.500 0.500
Bi: 0.000 0.000 0.000
Pt: 0.000 0.500 0.000
Pt: 0.500 0.000 0.000


Computed, not measured: a PBEsol-optimized structure of LaIr3 at the SCAN level of DFT.

Formation enthalpy at 0 K in eV per atom: -0.044
Crystal system: orthorhombic

abc: 2.795 3.835 6.593
angles: 90.00 90.00 90.00
Element x y z (fractional)
Ir: 0.000 0.000 0.696
Ir: 0.500 0.500 0.500
Ir: 0.000 0.000 0.304
La: 0.500 0.500 0.000


Computed, not measured: a PBEsol-optimized structure of GaReSe3 at the SCAN level of DFT.

Raw formation energy in meV/atom: 451
Crystal system: cubic
Energy above the lowest structure with this stoichiometry in eV per atom: 0.000

abc: 4.873 4.873 4.873
angles: 90.00 90.00 90.00
Element x y z (fractional)
Ga: 0.500 0.500 0.500
Re: 0.000 0.000 0.000
Se: 0.500 0.000 0.000
Se: 0.000 0.500 0.000
Se: 0.000 0.000 0.500


Computed, not measured: a PBEsol-optimized structure of SnBiO4 at the SCAN level of DFT.

Raw formation energy in meV/atom: -1223
Crystal system: tetragonal

abc: 4.151 4.151 6.175
angles: 109.64 109.64 90.00
Element x y z (fractional)
O: 0.790 0.790 0.580
O: 0.210 0.210 0.420
O: 0.442 0.942 0.883
O: 0.058 0.558 0.117
Bi: 0.000 0.000 0.000
Sn: 0.250 0.750 0.500